(1)
# HfCoBi2Au

A relaxed structure of HfCoBi2Au (PBE, Alexandria).

Values from the calculation:
- Fermi-level density of states: 4.34 states/eV/cell
- DFT formation energy: 2.89 eV per formula unit
- Electronic total energy: -5.0413 eV per atom

Unit cell a=4.9212 b=4.9380 c=4.9212 alpha=90.00 beta=90.00 gamma=90.00
Atoms (fractional coordinates):
Co1 0.0000 0.0000 0.0000
Hf1 0.5000 0.5000 0.5000
Bi1 0.0000 0.0000 0.5000
Bi2 0.5000 0.0000 0.0000
Au1 0.0000 0.5000 0.0000



(2)
# Er5SnSe5

A relaxed structure of Er5SnSe5 (PBE, Alexandria).

Values from the calculation:
- Fermi-level density of states: 2.37 states/eV/cell
- E_form (uncorrected): -1.615 eV per atom
- Electronic total energy: -5.6373 eV per atom

Unit cell a=5.8087 b=7.0992 c=8.2114 alpha=106.61 beta=90.00 gamma=114.15
Atoms (fractional coordinates):
Sn1 0.0000 0.0000 0.0000
Er1 0.8352 0.6704 0.1773
Er2 0.8329 0.6658 0.6592
Er3 0.1648 0.3296 0.8227
Er4 0.5000 0.0000 0.0000
Er5 0.1671 0.3342 0.3408
Se1 0.3335 0.6670 0.6642
Se2 0.0000 0.0000 0.5000
Se3 0.6708 0.3417 0.8378
Se4 0.6665 0.3330 0.3358
Se5 0.3292 0.6583 0.1621



(3)
# ErIn5Rh6

A relaxed structure of ErIn5Rh6 (PBE, Alexandria).

Values from the calculation:
- Fermi-level density of states: 2.85 states/eV/cell
- DFT formation energy: -6.71 eV per formula unit
- Electronic total energy: -5.7564 eV per atom

Unit cell a=4.5401 b=6.7115 c=7.1760 alpha=90.00 beta=71.56 gamma=90.00
Atoms (fractional coordinates):
In1 0.0000 0.5000 0.0000
In2 0.6659 0.5000 0.6683
In3 0.3341 0.5000 0.3317
In4 0.3345 0.0000 0.3310
In5 0.6655 0.0000 0.6690
Rh1 0.5000 0.7409 0.0000
Rh2 0.1696 0.2534 0.6609
Rh3 0.5000 0.2591 0.0000
Rh4 0.8304 0.7466 0.3391
Rh5 0.1696 0.7466 0.6609
Rh6 0.8304 0.2534 0.3391
Er1 0.0000 0.0000 0.0000



(4)
# Ag12P3Br5

A relaxed structure of Ag12P3Br5 (PBE, Alexandria).

Values from the calculation:
- Fermi-level density of states: 20.85 states/eV/cell
- E_form (uncorrected): 0.029 eV per atom
- Electronic total energy: -2.9119 eV per atom

Unit cell a=13.6207 b=13.6207 c=13.6207 alpha=109.47 beta=109.47 gamma=109.47
Atoms (fractional coordinates):
Ag1 0.2493 0.8673 0.9227
Ag2 0.8673 0.6180 0.9446
Ag3 0.1734 0.1180 0.7507
Ag4 0.4227 0.7493 0.8673
Ag5 0.3673 0.4446 0.1180
Ag6 0.5773 0.3266 0.9446
Ag7 0.6327 0.5554 0.8820
Ag8 0.8673 0.2493 0.4227
Ag9 0.0554 0.8820 0.1327
Ag10 0.8820 0.8266 0.7493
Ag11 0.3266 0.5773 0.4446
Ag12 0.9227 0.3673 0.2493
Ag13 0.1327 0.7507 0.5773
Ag14 0.6180 0.7507 0.6734
Ag15 0.7493 0.4227 0.3673
Ag16 0.2493 0.3820 0.8266
Ag17 0.5773 0.2507 0.1327
Ag18 0.3266 0.7493 0.3820
Ag19 0.1327 0.3820 0.0554
Ag20 0.2507 0.6734 0.1180
Ag21 0.3820 0.2493 0.3266
Ag22 0.5554 0.9227 0.6734
Ag23 0.0554 0.1734 0.4227
Ag24 0.6734 0.2507 0.6180
Ag25 0.9446 0.1180 0.8673
Ag26 0.6734 0.4227 0.5554
Ag27 0.0773 0.6327 0.7507
Ag28 0.3820 0.1327 0.5554
Ag29 0.3673 0.9227 0.7493
Ag30 0.7493 0.3266 0.8820
Ag31 0.6180 0.8673 0.4446
Ag32 0.8266 0.9446 0.0773
Ag33 0.7507 0.6180 0.1734
Ag34 0.2507 0.5773 0.6327
Ag35 0.1180 0.9446 0.3673
Ag36 0.4446 0.0773 0.3266
Ag37 0.1734 0.0554 0.9227
Ag38 0.0773 0.4446 0.8266
Ag39 0.9227 0.5554 0.1734
Ag40 0.4446 0.3673 0.6180
Ag41 0.9446 0.8266 0.5773
Ag42 0.4227 0.6734 0.0554
Ag43 0.5554 0.6327 0.3820
Ag44 0.6327 0.0773 0.2507
Ag45 0.7507 0.1327 0.0773
Ag46 0.1180 0.1734 0.2507
Ag47 0.8266 0.8820 0.2493
Ag48 0.8820 0.0554 0.6327
Br1 0.5000 0.0000 0.5000
Br2 0.7500 0.6250 0.3750
Br3 0.6250 0.8750 0.2500
Br4 0.1250 0.7500 0.3750
Br5 0.7500 0.1250 0.8750
Br6 0.0000 0.5000 0.5000
Br7 0.8750 0.6250 0.7500
Br8 0.2500 0.8750 0.1250
Br9 0.0000 0.0000 0.5000
Br10 0.3750 0.1250 0.7500
Br11 0.5000 0.5000 0.0000
Br12 0.5000 0.5000 0.5000
Br13 0.0000 0.5000 0.0000
Br14 0.3750 0.2500 0.1250
Br15 0.8750 0.2500 0.6250
Br16 0.2500 0.3750 0.6250
Br17 0.0000 0.0000 0.0000
Br18 0.6250 0.7500 0.8750
Br19 0.1250 0.3750 0.2500
Br20 0.5000 0.0000 0.0000
P1 0.7500 0.3750 0.1250
P2 0.2500 0.6250 0.8750
P3 0.8750 0.7500 0.1250
P4 0.6250 0.2500 0.3750
P5 0.2500 0.1250 0.3750
P6 0.6250 0.3750 0.7500
P7 0.3750 0.7500 0.6250
P8 0.8750 0.1250 0.2500
P9 0.3750 0.6250 0.2500
P10 0.1250 0.2500 0.8750
P11 0.1250 0.8750 0.7500
P12 0.7500 0.8750 0.6250



| no. | size of the total moment (μB per formula unit) |
| --- | --- |
| 1 | 0.00 |
| 2 | 0.00 |
| 3 | 0.00 |
| 4 | 0.00 |